(1)
! SrPtCl2 | the Alexandria database | GGA-PBEsol | optimized geometry; values from VASP
! Density of states at the Fermi level (states/eV/cell): 0.2
! Total DFT energy (no corrections) (eV/atom): -4.155
! Total moment (μB/cell): 0.00
! Crystal system: tetragonal
! Volume (A^3/atom): 23.15
! Space-group type: P4mm, No. 99
! Uncorrected formation energy (meV per atom): -950
&SYSTEM
  ibrav = 0, nat = 4, ntyp = 3
/
ATOMIC_SPECIES
Pt 195.08 Pt.upf
Cl 35.45 Cl.upf
Sr 87.62 Sr.upf
CELL_PARAMETERS angstrom
4.015 0.000 0.000
0.000 4.015 0.000
0.000 0.000 5.743
ATOMIC_POSITIONS crystal
Pt 0.000 0.000 0.525
Cl 0.500 0.500 0.287
Sr 0.500 0.500 0.771
Cl 0.000 0.000 0.917



(2)
! SmAgS2 | the Alexandria database | GGA-PBEsol | optimized geometry; values from VASP
! Density of states at the Fermi level (states/eV/cell): 0.0
! Total DFT energy (no corrections) (eV/atom): -5.613
! Total moment (μB/cell): 0.00
! Crystal system: monoclinic
! Volume (A^3/atom): 23.12
! Space-group type: P2_1, No. 4
! Uncorrected formation energy (meV per atom): -1320
&SYSTEM
  ibrav = 0, nat = 32, ntyp = 3
/
ATOMIC_SPECIES
S 32.06 S.upf
Sm 150.36 Sm.upf
Ag 107.87 Ag.upf
CELL_PARAMETERS angstrom
-6.349 -2.992 3.060
4.271 -4.037 4.914
-0.506 9.520 8.261
ATOMIC_POSITIONS crystal
S 0.035 0.711 0.218
S 0.535 0.289 0.782
Sm 0.996 0.248 0.503
S 0.220 0.027 0.026
Ag 0.011 0.723 0.422
Ag 0.228 0.995 0.670
S 0.959 0.211 0.282
S 0.524 0.777 0.276
S 0.785 0.463 0.033
S 0.720 0.973 0.974
S 0.471 0.277 0.224
S 0.274 0.473 0.526
Sm 0.249 0.500 0.747
Sm 0.998 0.748 0.997
Sm 0.745 0.000 0.753
S 0.024 0.223 0.724
Ag 0.728 0.005 0.330
S 0.971 0.723 0.776
Sm 0.245 0.000 0.247
S 0.209 0.963 0.467
Sm 0.749 0.500 0.253
Ag 0.511 0.277 0.578
S 0.459 0.789 0.718
Sm 0.498 0.252 0.003
S 0.709 0.037 0.533
Ag 0.985 0.225 0.079
S 0.285 0.537 0.967
Sm 0.496 0.752 0.497
Ag 0.768 0.494 0.830
S 0.774 0.527 0.474
Ag 0.268 0.506 0.170
Ag 0.485 0.775 0.921